No. 1
This record from the Alexandria database describes crystalline TiMnCd2Si at its relaxed geometry. The functional is PBE.

Results
**ρ**: 4528 kg/m3
**Final energy**: -19.40 eV for the cell shown
**Total magnetic moment**: 5.27 μB per formula unit
**Crystal system**: tetragonal

abc: 5.2272 5.2272 4.7745
angles: 90.00 90.00 90.00
Fractional coordinates of all 5 atoms:
Ti  0.0000  0.0000  0.0000
Mn  0.5000  0.5000  0.5000
Cd  0.0000  0.5000  0.0000
Cd  0.5000  0.0000  0.0000
Si  0.0000  0.0000  0.5000


No. 2
This record from the Alexandria database describes crystalline K2NbCl at its relaxed geometry. The functional is PBE.

Results
**ρ**: 1892 kg/m3
**Final energy**: -25.76 eV for the cell shown
**Total magnetic moment**: 3.79 μB per formula unit
**Crystal system**: tetragonal

abc: 8.9026 8.9026 8.9026
angles: 94.45 94.45 147.65
Fractional coordinates of all 8 atoms:
K  0.3750  0.2176  0.3426
K  0.7824  0.1250  0.1574
K  0.8750  0.0324  0.6574
K  0.9676  0.6250  0.8426
Nb  0.2500  0.7500  0.5000
Nb  0.5000  0.5000  0.0000
Cl  0.0000  0.0000  0.0000
Cl  0.7500  0.2500  0.5000


No. 3
This record from the Alexandria database describes crystalline Pm8Pr2Ho at its relaxed geometry. The functional is PBE.

Results
**ρ**: 7052 kg/m3
**Final energy**: -51.98 eV for the cell shown
**Total magnetic moment**: 0.00 μB per formula unit
**Crystal system**: monoclinic
**Formation enthalpy at 0 K**: 0.01 eV/atom

abc: 9.6509 9.6509 8.1685
angles: 104.72 104.72 31.03
Fractional coordinates of all 11 atoms:
Pm  0.0450  0.0450  0.2287
Pm  0.1351  0.1351  0.6787
Pm  0.3191  0.3191  0.5909
Pm  0.4102  0.4102  0.0483
Pm  0.5898  0.5898  0.9517
Pm  0.6809  0.6809  0.4091
Pm  0.8649  0.8649  0.3213
Pm  0.9550  0.9550  0.7713
Pr  0.2268  0.2268  0.1371
Pr  0.7732  0.7732  0.8629
Ho  0.5000  0.5000  0.5000


No. 4
This record from the Alexandria database describes crystalline Zn6CuIr5 at its relaxed geometry. The functional is PBE.

Results
**ρ**: 14116 kg/m3
**Final energy**: -57.74 eV for the cell shown
**Total magnetic moment**: 0.00 μB per formula unit
**Crystal system**: orthorhombic
**Formation enthalpy at 0 K**: -0.14 eV/atom

abc: 6.7066 6.7066 6.1834
angles: 90.00 90.00 143.17
Fractional coordinates of all 12 atoms:
Zn  0.0000  0.0000  0.2467
Zn  0.0000  0.0000  0.7533
Zn  0.3333  0.6667  0.2497
Zn  0.3333  0.6667  0.7503
Zn  0.6667  0.3333  0.2497
Zn  0.6667  0.3333  0.7503
Cu  0.5000  0.5000  0.0000
Ir  0.1644  0.8356  0.0000
Ir  0.1640  0.8360  0.5000
Ir  0.5000  0.5000  0.5000
Ir  0.8356  0.1644  0.0000
Ir  0.8360  0.1640  0.5000


No. 5
This record from the Alexandria database describes crystalline Sc2VPt at its relaxed geometry. The functional is PBE.

Results
**ρ**: 6951 kg/m3
**Final energy**: -56.39 eV for the cell shown
**Total magnetic moment**: 2.71 μB per formula unit
**Crystal system**: tetragonal
**Formation enthalpy at 0 K**: -0.09 eV/atom

abc: 6.0063 6.0063 6.0063
angles: 103.50 103.50 122.21
Fractional coordinates of all 8 atoms:
Sc  0.0955  0.6250  0.9705
Sc  0.3750  0.3455  0.4705
Sc  0.6545  0.1250  0.0295
Sc  0.8750  0.9045  0.5295
V  0.2500  0.7500  0.5000
V  0.5000  0.5000  0.0000
Pt  0.0000  0.0000  0.0000
Pt  0.7500  0.2500  0.5000


No. 6
This record from the Alexandria database describes crystalline Pr2UNbN6 at its relaxed geometry. The functional is PBE.

Results
**ρ**: 8125 kg/m3
**Final energy**: -92.01 eV for the cell shown
**Total magnetic moment**: 0.00 μB per formula unit
**Crystal system**: triclinic

abc: 5.8128 5.8322 5.8731
angles: 60.76 60.50 60.28
Fractional coordinates of all 10 atoms:
Pr  0.2495  0.2370  0.2659
Pr  0.7505  0.7630  0.7341
U  0.0000  0.0000  0.0000
Nb  0.5000  0.5000  0.5000
N  0.1930  0.7980  0.3111
N  0.2536  0.6515  0.8431
N  0.3087  0.1959  0.6944
N  0.6913  0.8041  0.3056
N  0.7464  0.3485  0.1569
N  0.8070  0.2020  0.6889


No. 7
This record from the Alexandria database describes crystalline TaTl2Fe at its relaxed geometry. The functional is PBE.

Results
**ρ**: 13575 kg/m3
**Final energy**: -22.00 eV for the cell shown
**Total magnetic moment**: 2.77 μB per formula unit
**Crystal system**: tetragonal
**Formation enthalpy at 0 K**: 0.76 eV/atom

abc: 5.0629 5.0629 3.0807
angles: 90.00 90.00 90.00
Fractional coordinates of all 4 atoms:
Ta  0.0000  0.0000  0.0000
Tl  0.0000  0.5000  0.5000
Tl  0.5000  0.0000  0.5000
Fe  0.5000  0.5000  0.0000


No. 8
This record from the Alexandria database describes crystalline Ba2InB at its relaxed geometry. The functional is PBE.

Results
**ρ**: 4144 kg/m3
**Final energy**: -24.39 eV for the cell shown
**Total magnetic moment**: 0.11 μB per formula unit
**Crystal system**: tetragonal
**Formation enthalpy at 0 K**: 0.27 eV/atom

abc: 8.8425 8.8425 8.8425
angles: 93.50 93.50 151.39
Fractional coordinates of all 8 atoms:
Ba  0.3750  0.1879  0.3129
Ba  0.8121  0.1250  0.1871
Ba  0.8750  0.0621  0.6871
Ba  0.9379  0.6250  0.8129
In  0.2500  0.7500  0.5000
In  0.5000  0.5000  0.0000
B  0.0000  0.0000  0.0000
B  0.7500  0.2500  0.5000


No. 9
This record from the Alexandria database describes crystalline RbCrCl3 at its relaxed geometry. The functional is PBE.

Results
**ρ**: 2268 kg/m3
**Final energy**: -44.98 eV for the cell shown
**Total magnetic moment**: 1.00 μB per formula unit
**Crystal system**: triclinic

abc: 6.1296 7.5998 8.5998
angles: 76.34 70.84 72.71
Fractional coordinates of all 10 atoms:
Rb  0.0000  0.0000  0.0000
Rb  0.4384  0.6159  0.4981
Cr  0.3446  0.4878  0.0481
Cr  0.5928  0.6201  0.9687
Cl  0.0592  0.5880  0.2791
Cl  0.0779  0.5794  0.8874
Cl  0.4992  0.8546  0.1258
Cl  0.5453  0.8417  0.7412
Cl  0.6300  0.3616  0.1969
Cl  0.6542  0.3669  0.8210


No. 10
This record from the Alexandria database describes crystalline KScTl2F6 at its relaxed geometry. The functional is PBE.

Results
**ρ**: 5250 kg/m3
**Final energy**: -52.21 eV for the cell shown
**Total magnetic moment**: 0.00 μB per formula unit
**Crystal system**: cubic

abc: 6.4747 6.4747 6.4747
angles: 60.00 60.00 60.00
Fractional coordinates of all 10 atoms:
K  0.0000  0.0000  0.0000
Sc  0.5000  0.5000  0.5000
Tl  0.2500  0.2500  0.2500
Tl  0.7500  0.7500  0.7500
F  0.2779  0.2779  0.7221
F  0.2779  0.7221  0.2779
F  0.2779  0.7221  0.7221
F  0.7221  0.2779  0.2779
F  0.7221  0.2779  0.7221
F  0.7221  0.7221  0.2779


No. 11
This record from the Alexandria database describes crystalline FeCoPb3 at its relaxed geometry. The functional is PBE.

Results
**ρ**: 9387 kg/m3
**Final energy**: -22.84 eV for the cell shown
**Total magnetic moment**: 2.14 μB per formula unit
**Crystal system**: cubic
**Formation enthalpy at 0 K**: 0.77 eV/atom

abc: 5.0691 5.0691 5.0691
angles: 90.00 90.00 90.00
Fractional coordinates of all 5 atoms:
Fe  0.0000  0.0000  0.0000
Co  0.5000  0.5000  0.5000
Pb  0.0000  0.5000  0.5000
Pb  0.5000  0.0000  0.5000
Pb  0.5000  0.5000  0.0000


No. 12
This record from the Alexandria database describes crystalline TlSN4 at its relaxed geometry. The functional is PBE.

Results
**ρ**: 5674 kg/m3
**Final energy**: -55.94 eV for the cell shown
**Total magnetic moment**: 0.00 μB per formula unit
**Crystal system**: tetragonal

abc: 9.1340 9.1340 9.1340
angles: 151.68 151.68 40.49
Fractional coordinates of all 12 atoms:
Tl  0.3750  0.6250  0.7500
Tl  0.6250  0.3750  0.2500
S  0.1250  0.8750  0.2500
S  0.8750  0.1250  0.7500
N  0.1859  0.2567  0.5707
N  0.1859  0.6152  0.9293
N  0.2567  0.1859  0.0707
N  0.3848  0.8141  0.5707
N  0.6152  0.1859  0.4293
N  0.7433  0.8141  0.9293
N  0.8141  0.3848  0.0707
N  0.8141  0.7433  0.4293